(1)
The following is a DFT calculation (PBE) of an optimized crystal structure of KPtI3.

abc: 5.6148 5.6148 5.6148
angles: 90.00 90.00 90.00
Space group Pm-3m (No. 221)
Asymmetric unit:
K (0.0000, 0.0000, 0.0000) (multiplicity 1)
Pt (0.5000, 0.5000, 0.5000) (multiplicity 1)
I (0.0000, 0.5000, 0.5000) (multiplicity 3)

The formation energy without anion corrections is -0.569 eV per atom.

***

(2)
The following is a DFT calculation (PBE) of an optimized crystal structure of KPtI.

abc: 19.1408 3.9706 5.6851
angles: 90.00 107.16 90.00
Space group Cm (No. 8)
Asymmetric unit:
K (0.0000, 0.0000, 0.0000) (multiplicity 2)
K (0.2280, 0.0000, 0.2309) (multiplicity 2)
Pt (0.1365, 0.0000, 0.6392) (multiplicity 2)
Pt (0.2322, 0.5000, 0.7356) (multiplicity 2)
I (0.0357, 0.5000, 0.5356) (multiplicity 2)
I (0.3355, 0.0000, 0.8379) (multiplicity 2)

The formation energy without anion corrections is -0.543 eV per atom.